Record 1
VASP calculation (GGA-PBE) on a relaxed NpTaC2 crystal.

Cell and atoms, written as POSCAR:
```
NpTaC2
1.0
3.1769 0.0000 0.0000
-1.5884 2.7512 0.0000
0.0000 0.0000 17.7535
Np Ta C
3 3 6
Direct
0.0000 0.0000 0.0000
0.3333 0.6667 0.6667
0.6667 0.3333 0.3333
0.0000 0.0000 0.1732
0.3333 0.6667 0.8399
0.6667 0.3333 0.5065
0.0000 0.0000 0.5772
0.0000 0.0000 0.7635
0.3333 0.6667 0.2439
0.3333 0.6667 0.4302
0.6667 0.3333 0.0969
0.6667 0.3333 0.9106
```

Values from the calculation:
For the calculated formation energy, the calculation gives -145 meV per atom. The distance to the lowest polymorph of the same formula is 0.216 eV per atom. The value obtained for the density of states at the Fermi level is 0.86 states/eV/atom. The uncorrected energy comes out at -10.956 eV per atom. The calculation puts the density at 14.189 g cm⁻³.

Record 2
VASP calculation (GGA-PBE) on a relaxed NpTaC2 crystal.

Cell and atoms, written as POSCAR:
```
NpTaC2
1.0
3.2533 0.0000 0.0000
-1.6267 2.8175 0.0000
0.0000 0.0000 16.8150
Np Ta C
3 3 6
Direct
0.0000 0.0000 0.0000
0.3333 0.6667 0.6667
0.6667 0.3333 0.3333
0.0000 0.0000 0.5000
0.3333 0.6667 0.1667
0.6667 0.3333 0.8333
0.0000 0.0000 0.2419
0.0000 0.0000 0.7581
0.3333 0.6667 0.4247
0.3333 0.6667 0.9086
0.6667 0.3333 0.0914
0.6667 0.3333 0.5753
```

Values from the calculation:
For the calculated formation energy, the calculation gives -361 meV per atom. The distance to the lowest polymorph of the same formula is 0.000 eV per atom. The value obtained for the density of states at the Fermi level is 0.72 states/eV/atom. The uncorrected energy comes out at -11.171 eV per atom. The calculation puts the density at 14.285 g cm⁻³.

Record 3
VASP calculation (GGA-PBE) on a relaxed NpU2TaC4 crystal.

Cell and atoms, written as POSCAR:
```
NpU2TaC4
1.0
5.9260 0.0000 0.0000
0.0000 3.3370 0.0000
-1.9156 0.0000 5.6268
Np U Ta C
1 2 1 4
Direct
0.0000 0.0000 0.0000
0.5000 0.0000 0.5000
0.5000 0.5000 0.0000
0.0000 0.5000 0.5000
0.2311 0.0000 0.7302
0.2360 0.5000 0.2693
0.7640 0.5000 0.7307
0.7689 0.0000 0.2698
```

Values from the calculation:
For the calculated formation energy, the calculation gives -240 meV per atom. The value obtained for the density of states at the Fermi level is 1.27 states/eV/atom. The uncorrected energy comes out at -10.773 eV per atom. The calculation puts the density at 14.059 g cm⁻³.

Record 4
VASP calculation (GGA-PBE) on a relaxed NpTa2WC4 crystal.

Cell and atoms, written as POSCAR:
```
NpTa2WC4
1.0
1.5972 -5.7253 0.0000
1.5972 5.7253 0.0000
0.0000 0.0000 11.3433
Np Ta W C
2 4 2 8
Direct
0.1161 0.8839 0.7500
0.8839 0.1161 0.2500
0.3707 0.6293 0.5339
0.3707 0.6293 0.9661
0.6293 0.3707 0.0339
0.6293 0.3707 0.4661
0.1509 0.8491 0.2500
0.8491 0.1509 0.7500
0.0000 0.0000 0.0000
0.0000 0.0000 0.5000
0.2615 0.7385 0.1130
0.2615 0.7385 0.3870
0.4596 0.5404 0.7500
0.5404 0.4596 0.2500
0.7385 0.2615 0.6130
0.7385 0.2615 0.8870
```

Values from the calculation:
For the calculated formation energy, the calculation gives -133 meV per atom. The value obtained for the density of states at the Fermi level is 0.81 states/eV/atom. The uncorrected energy comes out at -10.945 eV per atom. The calculation puts the density at 13.300 g cm⁻³.